Record 1
DFT (GGA-PBE) results for a relaxed structure of TbDy8Sc6.

Computed properties:
Energy of formation from the pure elements ... 272 kJ/mol of formula units
Offset from the most stable computed form ... 0.0 kJ per mole of atoms

Cell: 7.886 7.886 7.886 Å, 72.88 72.88 72.88°
Element x y z (fractional)
1 Tb 0.000 0.000 0.000
2 Dy 0.067 0.637 0.772
3 Dy 0.228 0.933 0.363
4 Dy 0.363 0.228 0.933
5 Dy 0.409 0.409 0.409
6 Dy 0.591 0.591 0.591
7 Dy 0.637 0.772 0.067
8 Dy 0.772 0.067 0.637
9 Dy 0.933 0.363 0.228
10 Sc 0.058 0.290 0.614
11 Sc 0.290 0.614 0.058
12 Sc 0.386 0.942 0.710
13 Sc 0.614 0.058 0.290
14 Sc 0.710 0.386 0.942
15 Sc 0.942 0.710 0.386

---

Record 2
DFT (GGA-PBE) results for a relaxed structure of P3Au2.

Computed properties:
Energy of formation from the pure elements ... -52 kJ/mol of formula units
Offset from the most stable computed form ... 0.0 kJ per mole of atoms

Cell: 7.879 7.879 4.748 Å, 96.69 96.69 135.75°
Element x y z (fractional)
1 P 0.050 0.292 0.180
2 P 0.183 0.183 0.472
3 P 0.292 0.050 0.180
4 P 0.708 0.950 0.820
5 P 0.817 0.817 0.528
6 P 0.950 0.708 0.820
7 Au 0.000 0.500 0.500
8 Au 0.392 0.608 0.000
9 Au 0.500 0.000 0.500
10 Au 0.608 0.392 0.000

---

Record 3
DFT (GGA-PBE) results for a relaxed structure of SmZr4In5.

Computed properties:
Energy of formation from the pure elements ... -19 kJ/mol of formula units
Offset from the most stable computed form ... 29.5 kJ per mole of atoms

Cell: 6.381 10.839 7.500 Å, 90.00 90.00 90.00°
Element x y z (fractional)
1 Sm 0.250 0.250 0.063
2 Sm 0.750 0.750 0.937
3 Zr 0.013 0.750 0.338
4 Zr 0.250 0.603 0.029
5 Zr 0.250 0.897 0.029
6 Zr 0.487 0.750 0.338
7 Zr 0.513 0.250 0.662
8 Zr 0.750 0.103 0.971
9 Zr 0.750 0.397 0.971
10 Zr 0.987 0.250 0.662
11 In 0.015 0.032 0.314
12 In 0.015 0.468 0.314
13 In 0.250 0.750 0.691
14 In 0.485 0.032 0.314
15 In 0.485 0.468 0.314
16 In 0.515 0.532 0.686
17 In 0.515 0.968 0.686
18 In 0.750 0.250 0.309
19 In 0.985 0.532 0.686
20 In 0.985 0.968 0.686

---

Record 4
DFT (GGA-PBE) results for a relaxed structure of CaTiAs2Se.

Computed properties:
E_form (uncorrected) ... -647.5 meV per atom
Offset from the most stable computed form ... 0.0 kJ per mole of atoms

Cell: 4.929 4.929 5.002 Å, 90.00 90.00 90.00°
Element x y z (fractional)
1 Ca 0.000 0.000 0.000
2 Ti 0.500 0.500 0.500
3 As 0.000 0.500 0.500
4 As 0.500 0.000 0.500
5 Se 0.500 0.500 0.000

---

Record 5
DFT (GGA-PBE) results for a relaxed structure of Zr3Cu2Os.

Computed properties:
Energy of formation from the pure elements ... -158 kJ/mol of formula units
Offset from the most stable computed form ... 0.0 kJ per mole of atoms

Cell: 7.370 7.370 3.241 Å, 90.00 90.00 142.80°
Element x y z (fractional)
1 Zr 0.000 0.000 0.000
2 Zr 0.336 0.664 0.000
3 Zr 0.664 0.336 0.000
4 Cu 0.169 0.831 0.500
5 Cu 0.831 0.169 0.500
6 Os 0.500 0.500 0.500

---

Record 6
DFT (GGA-PBE) results for a relaxed structure of LiSn2F5.

Computed properties:
E_form (uncorrected) ... -2407.9 meV per atom
Offset from the most stable computed form ... 0.0 kJ per mole of atoms

Cell: 7.243 7.243 8.345 Å, 122.50 122.50 43.86°
Element x y z (fractional)
1 Li 0.010 0.990 0.500
2 Li 0.990 0.010 0.000
3 Sn 0.316 0.331 0.405
4 Sn 0.331 0.316 0.905
5 Sn 0.595 0.653 0.930
6 Sn 0.653 0.595 0.430
7 F 0.097 0.255 0.094
8 F 0.201 0.815 0.716
9 F 0.255 0.097 0.594
10 F 0.281 0.610 0.324
11 F 0.388 0.722 0.108
12 F 0.610 0.281 0.824
13 F 0.694 0.967 0.333
14 F 0.722 0.388 0.608
15 F 0.815 0.201 0.216
16 F 0.967 0.694 0.833

---

Record 7
DFT (GGA-PBE) results for a relaxed structure of YGa3CoPd.

Computed properties:
Energy of formation from the pure elements ... -188 kJ/mol of formula units

Cell: 6.562 6.562 5.715 Å, 90.00 90.00 107.09°
Element x y z (fractional)
1 Y 0.249 0.751 0.750
2 Y 0.751 0.249 0.250
3 Ga 0.230 0.770 0.250
4 Ga 0.239 0.239 0.000
5 Ga 0.239 0.239 0.500
6 Ga 0.761 0.761 0.000
7 Ga 0.761 0.761 0.500
8 Ga 0.770 0.230 0.750
9 Co 0.019 0.981 0.250
10 Co 0.981 0.019 0.750
11 Pd 0.458 0.542 0.250
12 Pd 0.542 0.458 0.750

---

Record 8
DFT (GGA-PBE) results for a relaxed structure of CeTmAl2.

Computed properties:
Energy of formation from the pure elements ... -134 kJ/mol of formula units

Cell: 3.332 3.332 8.285 Å, 90.00 90.00 90.00°
Element x y z (fractional)
1 Ce 0.000 0.000 0.000
2 Tm 0.000 0.000 0.500
3 Al 0.500 0.500 0.258
4 Al 0.500 0.500 0.742

---

Record 9
DFT (GGA-PBE) results for a relaxed structure of Cu2POs.

Computed properties:
Energy of formation from the pure elements ... 105 kJ/mol of formula units

Cell: 4.517 4.517 2.904 Å, 90.00 90.00 117.33°
Element x y z (fractional)
1 Cu 0.000 0.500 0.000
2 Cu 0.500 0.000 0.000
3 P 0.000 0.000 0.500
4 Os 0.500 0.500 0.500

---

Record 10
DFT (GGA-PBE) results for a relaxed structure of HfBe3B.

Computed properties:
Energy of formation from the pure elements ... 1302 kJ/mol of formula units
Offset from the most stable computed form ... 243.2 kJ per mole of atoms

Cell: 4.788 4.788 4.788 Å, 90.00 90.00 90.00°
Element x y z (fractional)
1 Hf 0.000 0.000 0.000
2 Be 0.000 0.000 0.500
3 Be 0.000 0.500 0.000
4 Be 0.500 0.000 0.000
5 B 0.500 0.500 0.500

---

Record 11
DFT (GGA-PBE) results for a relaxed structure of Tb2BiC.

Computed properties:
Energy of formation from the pure elements ... -167 kJ/mol of formula units

Cell: 6.906 4.866 11.057 Å, 90.00 90.00 90.00°
Element x y z (fractional)
1 Tb 0.086 0.250 0.228
2 Tb 0.154 0.250 0.551
3 Tb 0.346 0.750 0.051
4 Tb 0.414 0.750 0.728
5 Tb 0.586 0.250 0.272
6 Tb 0.654 0.250 0.949
7 Tb 0.846 0.750 0.449
8 Tb 0.914 0.750 0.772
9 Bi 0.170 0.250 0.874
10 Bi 0.330 0.750 0.374
11 Bi 0.670 0.250 0.626
12 Bi 0.830 0.750 0.126
13 C 0.115 0.750 0.598
14 C 0.385 0.250 0.098
15 C 0.615 0.750 0.902
16 C 0.885 0.250 0.402

---

Record 12
DFT (GGA-PBE) results for a relaxed structure of BaAc3Co.

Computed properties:
Energy of formation from the pure elements ... 17 kJ/mol of formula units
Offset from the most stable computed form ... 0.0 kJ per mole of atoms

Cell: 5.896 5.896 5.896 Å, 90.00 90.00 90.00°
Element x y z (fractional)
1 Ba 0.000 0.000 0.000
2 Ac 0.000 0.500 0.500
3 Ac 0.500 0.000 0.500
4 Ac 0.500 0.500 0.000
5 Co 0.500 0.500 0.500

---

no.,magnetization (Bohr magnetons per cell),mass density (g/cm3)
1,0.00,6.58
2,0.00,8.27
3,0.00,6.97
4,0.00,4.33
5,0.00,9.22
6,0.00,4.56
7,0.00,6.54
8,0.14,6.55
9,0.00,10.99
10,0.00,3.27
11,0.00,9.63
12,0.00,7.11